# LaMoClO4 (PBE with a Hubbard U, optimized geometry)
# magnetization = 0.00 Bohr magnetons per cell
# polymorph energy (0 for the lowest one) = 0.011 eV per atom
data_LaMoClO4
_cell_length_a 19.553
_cell_length_b 6.006
_cell_length_c 7.934
_cell_angle_alpha 90.00
_cell_angle_beta 90.07
_cell_angle_gamma 90.00
_space_group_name_H-M_alt 'P 1 21/c 1'
_space_group_IT_number 14
_space_group_name_Hall '-P 2ybc'
loop_
_atom_site_label
_atom_site_type_symbol
_atom_site_fract_x
_atom_site_fract_y
_atom_site_fract_z
La1 La 0.105 0.193 0.127
La2 La 0.395 0.694 0.378
Mo1 Mo 0.177 0.747 0.406
Mo2 Mo 0.323 0.244 0.655
Cl1 Cl 0.008 0.732 0.626
Cl2 Cl 0.492 0.232 0.871
O1 O 0.133 0.019 0.407
O2 O 0.135 0.013 0.841
O3 O 0.169 0.679 0.629
O4 O 0.234 0.245 0.623
O5 O 0.267 0.740 0.877
O6 O 0.331 0.178 0.879
O7 O 0.364 0.520 0.657
O8 O 0.368 0.513 0.092